VASP calculation (GGA-PBEsol) on a geometry-optimized BaCuSe2O6 structure.

crystal system	monoclinic
excess energy over the best structure of this formula in the dataset	13	meV/atom
uncorrected formation energy	-1.288	eV per atom

a b c (Å): 5.2775 13.1685 8.8449
angles (deg): 90.00 90.15 90.00
Last column: nearest neighbours and their distance in Å.
Element x y z (fractional)
Ba  0.2313  0.2016  0.3121  10 O 2.79-3.04
Ba  0.2313  0.2984  0.8121  10 O 2.79-3.04
Ba  0.7687  0.7016  0.1879  10 O 2.79-3.04
Ba  0.7687  0.7984  0.6879  10 O 2.79-3.04
Cu  0.2242  0.6343  0.9005  4 O 1.91-2.01
Cu  0.2242  0.8657  0.4005  4 O 1.91-2.01
Cu  0.7758  0.1343  0.5995  4 O 1.91-2.01
Cu  0.7758  0.3657  0.0995  4 O 1.91-2.01
Se  0.2640  0.6344  0.5346  3 O 1.69-1.74
Se  0.2640  0.8656  0.0346  3 O 1.69-1.74
Se  0.3130  0.0090  0.7120  3 O 1.69-1.74
Se  0.3130  0.4910  0.2120  3 O 1.69-1.74
Se  0.6870  0.5090  0.7880  3 O 1.69-1.74
Se  0.6870  0.9910  0.2880  3 O 1.69-1.74
Se  0.7360  0.1344  0.9654  3 O 1.69-1.74
Se  0.7360  0.3656  0.4654  3 O 1.69-1.74
O  0.0823  0.7273  0.4472  1 Se 1.74
O  0.0823  0.7727  0.9472  1 Se 1.74
O  0.2062  0.5949  0.1098  1 Se 1.73, 1 Cu 1.93
O  0.2062  0.9051  0.6098  1 Se 1.73, 1 Cu 1.93
O  0.2166  0.1169  0.6247  1 Se 1.69
O  0.2166  0.3831  0.1247  1 Se 1.69
O  0.2841  0.6962  0.7081  1 Se 1.74, 1 Cu 1.91
O  0.2841  0.8038  0.2081  1 Se 1.74, 1 Cu 1.91
O  0.3641  0.5052  0.8277  1 Se 1.74
O  0.3641  0.9948  0.3277  1 Se 1.74
O  0.4389  0.1546  0.0300  1 Se 1.69
O  0.4389  0.3454  0.5300  1 Se 1.69
O  0.5611  0.6546  0.4700  1 Se 1.69
O  0.5611  0.8454  0.9700  1 Se 1.69
O  0.6359  0.0052  0.6723  1 Se 1.74
O  0.6359  0.4948  0.1723  1 Se 1.74
O  0.7159  0.1962  0.7919  1 Se 1.74, 1 Cu 1.91
O  0.7159  0.3038  0.2919  1 Se 1.74, 1 Cu 1.91
O  0.7834  0.6169  0.8753  1 Se 1.69
O  0.7834  0.8831  0.3753  1 Se 1.69
O  0.7938  0.0949  0.3902  1 Se 1.73, 1 Cu 1.93
O  0.7938  0.4051  0.8902  1 Se 1.73, 1 Cu 1.93
O  0.9177  0.2273  0.0528  1 Se 1.74
O  0.9177  0.2727  0.5528  1 Se 1.74

VASP calculation (GGA-PBEsol) on a geometry-optimized BaCuSe2O6 structure.

crystal system	monoclinic
excess energy over the best structure of this formula in the dataset	0	meV/atom
uncorrected formation energy	-1.301	eV per atom

a b c (Å): 4.7880 4.7880 15.7685
angles (deg): 90.29 90.29 65.24
Last column: nearest neighbours and their distance in Å.
Element x y z (fractional)
Ba  0.0327  0.9673  0.7500  6 O 2.71-2.77
Ba  0.9673  0.0327  0.2500  6 O 2.71-2.77
Cu  0.0000  0.0000  0.0000  4 O 1.90-1.95
Cu  0.0000  0.0000  0.5000  4 O 1.90-1.95
Se  0.3576  0.3630  0.5886  3 O 1.69-1.75
Se  0.3630  0.3576  0.0886  3 O 1.69-1.75
Se  0.6370  0.6424  0.9114  3 O 1.69-1.75
Se  0.6424  0.6370  0.4114  3 O 1.69-1.75
O  0.1643  0.7543  0.0980  1 Se 1.74, 1 Cu 1.90
O  0.2457  0.8357  0.4020  1 Se 1.74, 1 Cu 1.90
O  0.2607  0.6767  0.9229  1 Se 1.75, 1 Cu 1.95
O  0.2674  0.3648  0.6925  1 Se 1.69
O  0.3233  0.7393  0.5771  1 Se 1.75, 1 Cu 1.95
O  0.3648  0.2674  0.1925  1 Se 1.69
O  0.6352  0.7326  0.8075  1 Se 1.69
O  0.6767  0.2607  0.4229  1 Se 1.75, 1 Cu 1.95
O  0.7326  0.6352  0.3075  1 Se 1.69
O  0.7393  0.3233  0.0771  1 Se 1.75, 1 Cu 1.95
O  0.7543  0.1643  0.5980  1 Se 1.74, 1 Cu 1.90
O  0.8357  0.2457  0.9020  1 Se 1.74, 1 Cu 1.90